This record from Alexandria describes a geometry-optimized SiPb3W structure. The functional is PBE.

Cell and atoms, written as extended XYZ:
```
5
Lattice="5.413 0.000 0.000 0.000 5.413 0.000 0.000 0.000 5.413" Properties=species:S:1:pos:R:3 pbc="T T T"
Si 0.000 0.000 0.000
Pb 0.000 2.706 2.706
Pb 2.706 0.000 2.706
Pb 2.706 2.706 0.000
W 2.706 2.706 2.706
```

Values from the calculation:
The energy relative to the elements, uncorrected comes out at 1103 meV/atom. The value obtained for the energy relative to the lowest polymorph listed for this composition is 0.0 meV per atom. The density of states at the Fermi level is 7.6 states/eV/f.u. The crystal system is cubic.